Record 1
# ZrNbAl3 (meta-GGA SCAN, single point on PBEsol structure)
data_ZrNbAl3
_cell_length_a 4.8919
_cell_length_b 4.8919
_cell_length_c 4.8919
_cell_angle_alpha 90.00
_cell_angle_beta 90.00
_cell_angle_gamma 90.00
_space_group_name_H-M_alt 'P m -3 m'
_space_group_IT_number 221
_space_group_name_Hall '-P 4 2 3'
loop_
_atom_site_label
_atom_site_type_symbol
_atom_site_fract_x
_atom_site_fract_y
_atom_site_fract_z
_atom_site_occupancy
Zr1 Zr 0.0000 0.0000 0.0000 1
Nb1 Nb 0.5000 0.5000 0.5000 1
Al1 Al 0.0000 0.0000 0.5000 1
# magnetization: 2.17 μB per formula unit
# formation energy from the elements: 6.3 eV per formula unit
# DFT total energy: -16.165 eV/atom

Record 2
# NdAl (meta-GGA SCAN, single point on PBEsol structure)
data_NdAl
_cell_length_a 5.9064
_cell_length_b 11.6940
_cell_length_c 5.6687
_cell_angle_alpha 90.00
_cell_angle_beta 90.00
_cell_angle_gamma 90.00
_space_group_name_H-M_alt 'P b c m'
_space_group_IT_number 57
loop_
_space_group_symop_operation_xyz
'x,y,z'
'-x,-y,-z'
'-x,-y,z+1/2'
'x,y,-z+1/2'
'x,-y+1/2,-z'
'-x,y+1/2,z'
'-x,y+1/2,-z+1/2'
'x,-y+1/2,z+1/2'
loop_
_atom_site_label
_atom_site_type_symbol
_atom_site_fract_x
_atom_site_fract_y
_atom_site_fract_z
_atom_site_occupancy
Nd1 Nd 0.0934 0.1670 0.2500 1
Nd2 Nd 0.3369 0.0099 0.7500 1
Al1 Al 0.1656 0.6002 0.7500 1
Al2 Al 0.4281 0.7500 0.0000 1
# magnetization: 0.00 μB per formula unit
# formation energy from the elements: -0.9 eV per formula unit
# DFT total energy: -26.107 eV/atom

Record 3
# Nd3Al (meta-GGA SCAN, single point on PBEsol structure)
data_Nd3Al
_cell_length_a 6.9679
_cell_length_b 6.9679
_cell_length_c 5.3344
_cell_angle_alpha 90.00
_cell_angle_beta 90.00
_cell_angle_gamma 120.00
_space_group_name_H-M_alt 'P 63/m m c'
_space_group_IT_number 194
_space_group_name_Hall '-P 6c 2c'
loop_
_atom_site_label
_atom_site_type_symbol
_atom_site_fract_x
_atom_site_fract_y
_atom_site_fract_z
_atom_site_occupancy
Nd1 Nd 0.1780 0.3560 0.2500 1
Al1 Al 0.3333 0.6667 0.7500 1
# E above lowest polymorph: 0.0000 eV/atom
# magnetization: 0.52 μB per formula unit
# formation energy from the elements: -0.9 eV per formula unit
# DFT total energy: -34.855 eV/atom

Record 4
# NdAl (meta-GGA SCAN, single point on PBEsol structure)
data_NdAl
_cell_length_a 3.6789
_cell_length_b 3.6789
_cell_length_c 3.6789
_cell_angle_alpha 90.00
_cell_angle_beta 90.00
_cell_angle_gamma 90.00
_space_group_name_H-M_alt 'P m -3 m'
_space_group_IT_number 221
_space_group_name_Hall '-P 4 2 3'
loop_
_atom_site_label
_atom_site_type_symbol
_atom_site_fract_x
_atom_site_fract_y
_atom_site_fract_z
_atom_site_occupancy
Nd1 Nd 0.0000 0.0000 0.0000 1
Al1 Al 0.5000 0.5000 0.5000 1
# magnetization: 0.00 μB per formula unit
# formation energy from the elements: -0.8 eV per formula unit
# DFT total energy: -26.048 eV/atom

Record 5
# Nd3Al (meta-GGA SCAN, single point on PBEsol structure)
data_Nd3Al
_cell_length_a 4.8122
_cell_length_b 4.8122
_cell_length_c 4.8122
_cell_angle_alpha 90.00
_cell_angle_beta 90.00
_cell_angle_gamma 90.00
_space_group_name_H-M_alt 'P m -3 m'
_space_group_IT_number 221
_space_group_name_Hall '-P 4 2 3'
loop_
_atom_site_label
_atom_site_type_symbol
_atom_site_fract_x
_atom_site_fract_y
_atom_site_fract_z
_atom_site_occupancy
Nd1 Nd 0.0000 0.0000 0.5000 1
Al1 Al 0.5000 0.5000 0.5000 1
# E above lowest polymorph: 0.0232 eV/atom
# magnetization: 0.75 μB per formula unit
# formation energy from the elements: -0.8 eV per formula unit
# DFT total energy: -34.832 eV/atom

Record 6
# Nd2AlNi2 (meta-GGA SCAN, single point on PBEsol structure)
data_Nd2AlNi2
_cell_length_a 4.2502
_cell_length_b 5.4929
_cell_length_c 8.6946
_cell_angle_alpha 90.00
_cell_angle_beta 90.00
_cell_angle_gamma 90.00
_space_group_name_H-M_alt 'I m m m'
_space_group_IT_number 71
_space_group_name_Hall '-I 2 2'
loop_
_atom_site_label
_atom_site_type_symbol
_atom_site_fract_x
_atom_site_fract_y
_atom_site_fract_z
_atom_site_occupancy
Nd1 Nd 0.0000 0.0000 0.2018 1
Al1 Al 0.0000 0.5000 0.0000 1
Ni1 Ni 0.0000 0.2651 0.5000 1
# magnetization: 0.08 μB per formula unit
# formation energy from the elements: -2.2 eV per formula unit
# DFT total energy: -25.902 eV/atom